An optimized crystal structure of LaPrPd3. Source: Alexandria, functional PBE.

- raw total energy (eV per atom) = -5.8247
- offset from the most stable computed form (eV/atom) = 0.012
- magnetic moment (μB/f.u.) = 0.00

abc: 3.949 27.588 4.411
angles: 90.00 90.00 90.00
Space group Cmcm (No. 63)
Symmetry-distinct sites (fractional):
La 0.000 0.071 0.250 (multiplicity 4)
Pr 0.000 0.204 0.750 (multiplicity 4)
Pd 0.000 0.316 0.750 (multiplicity 4)
Pd 0.000 0.378 0.250 (multiplicity 4)
Pd 0.000 0.473 0.250 (multiplicity 4)

An optimized crystal structure of CaPr2NpN4. Source: Alexandria, functional PBE.

- raw total energy (eV per atom) = -8.4249
- formation energy (no corrections) (meV per atom) = -1200
- magnetic moment (μB/f.u.) = 2.47

abc: 6.111 3.589 6.178
angles: 90.00 108.55 90.00
Space group P2/m (No. 10)
Symmetry-distinct sites (fractional):
Ca 0.000 0.000 0.000 (multiplicity 1)
Pr 0.000 0.500 0.500 (multiplicity 1)
Pr 0.500 0.000 0.500 (multiplicity 1)
Np 0.500 0.500 0.000 (multiplicity 1)
N 0.270 0.000 0.773 (multiplicity 2)
N 0.282 0.500 0.220 (multiplicity 2)

An optimized crystal structure of CsRh3N. Source: Alexandria, functional PBE.

- raw total energy (eV per atom) = -5.3964
- formation energy (no corrections) (meV per atom) = 850
- offset from the most stable computed form (eV/atom) = 0.000
- magnetic moment (μB/f.u.) = 0.00

abc: 4.346 4.346 4.346
angles: 90.00 90.00 90.00
Space group Pm-3m (No. 221)
Symmetry-distinct sites (fractional):
Cs 0.000 0.000 0.000 (multiplicity 1)
Rh 0.000 0.500 0.500 (multiplicity 3)
N 0.500 0.500 0.500 (multiplicity 1)

An optimized crystal structure of Ce3HoN. Source: Alexandria, functional PBE.

- raw total energy (eV per atom) = -6.6571
- formation energy (no corrections) (meV per atom) = -516
- magnetic moment (μB/f.u.) = 0.02

abc: 4.945 4.945 4.945
angles: 90.00 90.00 90.00
Space group Pm-3m (No. 221)
Symmetry-distinct sites (fractional):
Ce 0.000 0.000 0.500 (multiplicity 3)
Ho 0.500 0.500 0.500 (multiplicity 1)
N 0.000 0.000 0.000 (multiplicity 1)

An optimized crystal structure of HoTm5In2. Source: Alexandria, functional PBE.

- raw total energy (eV per atom) = -4.2172
- magnetic moment (μB/f.u.) = 0.00

abc: 3.503 10.367 12.618
angles: 90.00 90.00 90.00
Space group Immm (No. 71)
Symmetry-distinct sites (fractional):
Ho 0.000 0.000 0.000 (multiplicity 2)
Tm 0.000 0.229 0.367 (multiplicity 8)
Tm 0.000 0.500 0.000 (multiplicity 2)
In 0.000 0.500 0.259 (multiplicity 4)

An optimized crystal structure of Na5As2Au. Source: Alexandria, functional PBE.

- raw total energy (eV per atom) = -2.8514
- magnetic moment (μB/f.u.) = 0.00

abc: 5.1278 5.1278 18.0265
angles: 90.00 90.00 120.00
Space group P6_3/mmc (No. 194)
Symmetry-distinct sites (fractional):
Na 0.0000 0.0000 0.1386 (multiplicity 4)
Na 0.3333 0.6667 0.0528 (multiplicity 4)
Na 0.3333 0.6667 0.2500 (multiplicity 2)
As 0.3333 0.6667 0.6121 (multiplicity 4)
Au 0.3333 0.6667 0.7500 (multiplicity 2)

An optimized crystal structure of Sr2CdAg6Sn. Source: Alexandria, functional PBE.

- raw total energy (eV per atom) = -2.4972
- magnetic moment (μB/f.u.) = 0.00

abc: 10.495 10.495 10.495
angles: 90.00 90.00 90.00
Space group Fm-3m (No. 225)
Symmetry-distinct sites (fractional):
Sr 0.250 0.250 0.250 (multiplicity 8)
Cd 0.000 0.000 0.000 (multiplicity 4)
Ag 0.000 0.000 0.249 (multiplicity 24)
Sn 0.000 0.000 0.500 (multiplicity 4)

An optimized crystal structure of Ti8AlN2. Source: Alexandria, functional PBE.

- raw total energy (eV per atom) = -8.1344
- formation energy (no corrections) (meV per atom) = -539
- magnetic moment (μB/f.u.) = 0.00

abc: 6.631 11.547 4.192
angles: 90.00 96.69 90.00
Space group C2/m (No. 12)
Symmetry-distinct sites (fractional):
Ti 0.000 0.248 0.000 (multiplicity 4)
Ti 0.114 0.500 0.856 (multiplicity 4)
Ti 0.238 0.133 0.547 (multiplicity 8)
Al 0.000 0.000 0.000 (multiplicity 2)
N 0.000 0.256 0.500 (multiplicity 4)

An optimized crystal structure of Hf7ZrAl4. Source: Alexandria, functional PBE.

- raw total energy (eV per atom) = -7.6637
- magnetic moment (μB/f.u.) = 0.00

abc: 12.987 5.151 9.011
angles: 90.00 123.22 90.00
Space group C2/m (No. 12)
Symmetry-distinct sites (fractional):
Hf 0.000 0.000 0.000 (multiplicity 2)
Hf 0.069 0.500 0.408 (multiplicity 4)
Hf 0.212 0.500 0.882 (multiplicity 4)
Hf 0.229 0.000 0.684 (multiplicity 4)
Zr 0.000 0.500 0.000 (multiplicity 2)
Al 0.048 0.000 0.738 (multiplicity 4)
Al 0.180 0.000 0.343 (multiplicity 4)

An optimized crystal structure of Rb2ReSBr6. Source: Alexandria, functional PBE.

- raw total energy (eV per atom) = -3.4473
- formation energy (no corrections) (meV per atom) = -593
- magnetic moment (μB/f.u.) = 3.97

abc: 8.271 8.271 10.290
angles: 90.00 90.00 90.00
Space group I4/mmm (No. 139)
Symmetry-distinct sites (fractional):
Rb 0.000 0.500 0.250 (multiplicity 4)
Re 0.000 0.000 0.000 (multiplicity 2)
S 0.000 0.000 0.500 (multiplicity 2)
Br 0.000 0.000 0.253 (multiplicity 4)
Br 0.217 0.217 0.000 (multiplicity 8)

An optimized crystal structure of Pm2AlGaO6. Source: Alexandria, functional PBE.

- raw total energy (eV per atom) = -7.5599
- formation energy (no corrections) (meV per atom) = -2958
- magnetic moment (μB/f.u.) = 0.00

abc: 5.395 5.480 9.372
angles: 90.00 125.08 90.00
Space group P2_1/c (No. 14)
Symmetry-distinct sites (fractional):
Pm 0.239 0.045 0.250 (multiplicity 4)
Al 0.000 0.000 0.500 (multiplicity 2)
Ga 0.500 0.000 0.000 (multiplicity 2)
O 0.164 0.217 0.956 (multiplicity 4)
O 0.239 0.707 0.957 (multiplicity 4)
O 0.325 0.019 0.745 (multiplicity 4)

An optimized crystal structure of TcMo. Source: Alexandria, functional PBE.

- raw total energy (eV per atom) = -10.5088
- offset from the most stable computed form (eV/atom) = 0.014
- magnetic moment (μB/f.u.) = 0.00

abc: 9.819 3.121 6.324
angles: 90.00 108.96 90.00
Space group C2/m (No. 12)
Symmetry-distinct sites (fractional):
Tc 0.000 0.000 0.000 (multiplicity 2)
Tc 0.174 0.500 0.827 (multiplicity 4)
Mo 0.000 0.000 0.500 (multiplicity 2)
Mo 0.161 0.500 0.334 (multiplicity 4)